InGe2Cl | GGA-PBE | optimized geometry

The structure in POSCAR format:
```
InGe2Cl
1.0
4.435 0.000 0.000
0.000 4.435 0.000
2.218 2.218 10.203
Cl In Ge
2 2 4
Cartesian
2.218 4.435 5.102 Cl
2.218 2.218 0.000 Cl
0.000 0.000 0.000 In
4.435 2.218 5.102 In
3.326 3.657 7.653 Ge
1.440 3.326 2.551 Ge
2.996 1.109 2.551 Ge
5.544 5.213 7.653 Ge
```

Values from the calculation:
- Formation energy without anion corrections: 101.7 meV/atom
- Calculated volume: 25.1 A^3/atom
- DFT total energy: -3.3533 eV per atom
- Total magnetic moment: 0.000 μB/f.u.
- Space group: I-42d, No. 122
- ΔE to the lowest computed polymorph: 0 meV per atom

La8ThN6 | GGA-PBE | optimized geometry

The structure in POSCAR format:
```
La8ThN6
1.0
-0.977 -1.113 6.256
4.042 -3.790 3.260
6.447 6.058 5.388
La Th N
8 1 6
Cartesian
7.482 1.268 6.871 La
7.468 4.422 8.560 La
5.568 1.730 9.954 La
3.944 -0.575 4.951 La
5.019 -2.222 8.035 La
2.044 -3.267 6.345 La
4.493 3.377 6.869 La
2.030 -0.113 8.033 La
0.000 0.000 0.000 Th
8.014 1.850 9.235 N
4.886 4.037 9.303 N
1.499 -0.695 5.670 N
2.676 -2.442 8.853 N
4.627 -2.882 5.602 N
6.837 3.597 6.051 N
```

Values from the calculation:
- Formation energy without anion corrections: -1110.4 meV/atom
- Calculated volume: 23.1 A^3/atom
- DFT total energy: -7.5631 eV per atom
- Total magnetic moment: 0.779 μB/f.u.
- Space group: R-3, No. 148

ErAl4Pb | GGA-PBE | optimized geometry

The structure in POSCAR format:
```
ErAl4Pb
1.0
5.601 0.000 0.000
2.800 4.851 0.000
2.800 1.617 4.573
Al Er Pb
4 1 1
Cartesian
4.196 4.045 2.860 Al
7.006 4.045 2.860 Al
5.601 1.611 2.860 Al
5.601 3.234 0.566 Al
0.000 0.000 0.000 Er
2.800 1.617 1.143 Pb
```

Values from the calculation:
- Calculated volume: 20.7 A^3/atom
- DFT total energy: -4.0248 eV per atom
- Total magnetic moment: 0.000 μB/f.u.
- Space group: F-43m, No. 216

Sr2SmTcO6 | GGA-PBE | optimized geometry

The structure in POSCAR format:
```
Sr2SmTcO6
1.0
-1.285 -3.253 -4.703
3.562 -4.343 2.031
-6.422 -3.328 4.145
O Sm Sr Tc
12 2 4 2
Cartesian
-2.541 -3.105 1.207 O
-3.366 -4.895 3.759 O
-3.437 -5.241 -0.419 O
-1.753 -8.011 3.048 O
-0.709 -5.682 1.893 O
1.844 -4.034 0.314 O
-4.412 -9.156 1.701 O
-5.989 -6.890 1.160 O
0.266 -1.767 -0.227 O
-2.392 -2.913 -1.574 O
-1.605 -7.818 0.267 O
-0.779 -6.029 -2.285 O
-0.642 -1.626 -2.351 Sm
-1.430 -3.835 3.088 Sm
-5.937 -5.894 -1.456 Sr
-3.544 -6.513 1.806 Sr
1.792 -5.029 2.930 Sr
-0.602 -4.411 -0.332 Sr
-3.854 -3.290 -0.279 Tc
1.781 -2.172 1.016 Tc
```

Values from the calculation:
- Formation energy without anion corrections: -2535.0 meV/atom
- Calculated volume: 14.6 A^3/atom
- DFT total energy: -7.3548 eV per atom
- Total magnetic moment: 2.002 μB/f.u.
- Space group: P2_1/c, No. 14

NdHo3Tl4Te8 | GGA-PBE | optimized geometry

The structure in POSCAR format:
```
NdHo3Tl4Te8
1.0
8.942 0.000 0.000
0.000 9.665 0.505
-4.471 -4.468 6.324
Te Tl Ho Nd
8 4 3 1
Cartesian
4.471 4.755 3.358 Te
0.000 4.748 3.426 Te
0.000 0.442 3.471 Te
2.184 2.566 6.515 Te
4.471 0.449 3.403 Te
-2.184 2.566 6.515 Te
6.655 2.631 0.314 Te
2.287 2.631 0.314 Te
2.236 -2.234 3.162 Tl
4.471 0.000 0.000 Tl
-2.236 -2.234 3.162 Tl
0.000 0.000 0.000 Tl
4.471 4.833 0.252 Ho
-2.236 2.599 3.415 Ho
2.236 2.599 3.415 Ho
0.000 4.833 0.252 Nd
```

Values from the calculation:
- Formation energy without anion corrections: -1051.1 meV/atom
- Calculated volume: 35.4 A^3/atom
- DFT total energy: -4.3699 eV per atom
- Total magnetic moment: 0.000 μB/f.u.
- Space group: R-3m, No. 166

Sb2MoCl | GGA-PBE | optimized geometry

The structure in POSCAR format:
```
Sb2MoCl
1.0
3.457 0.000 0.000
0.000 5.764 0.005
0.000 3.233 4.769
Mo Sb Cl
1 2 1
Cartesian
1.729 6.740 3.576 Mo
0.000 8.553 4.539 Sb
1.729 2.131 1.131 Sb
0.000 5.069 2.689 Cl
```

Values from the calculation:
- Formation energy without anion corrections: 93.7 meV/atom
- Calculated volume: 23.7 A^3/atom
- DFT total energy: -5.1370 eV per atom
- Total magnetic moment: 0.009 μB/f.u.
- Space group: Amm2, No. 38
- ΔE to the lowest computed polymorph: 106 meV per atom

Rb2PtF7 | GGA-PBE | optimized geometry

The structure in POSCAR format:
```
Rb2PtF7
1.0
5.990 0.000 2.921
2.712 7.163 2.040
-0.325 -1.056 8.268
Rb F Pt
4 14 2
Cartesian
2.689 0.290 3.587 Rb
5.688 5.817 9.643 Rb
2.701 3.343 8.165 Rb
5.676 2.764 5.065 Rb
2.714 3.272 3.168 F
6.467 1.809 7.701 F
3.015 6.325 7.887 F
7.224 5.103 4.870 F
4.276 0.999 8.585 F
3.448 5.919 2.374 F
4.101 5.108 4.645 F
5.361 -0.218 5.342 F
5.663 2.835 10.061 F
2.176 0.993 6.262 F
1.909 4.298 5.528 F
1.153 1.004 8.360 F
4.929 0.188 10.855 F
6.201 5.114 6.967 F
2.355 5.108 3.794 Pt
6.022 0.999 9.436 Pt
```

Values from the calculation:
- Formation energy without anion corrections: -1848.1 meV/atom
- Calculated volume: 18.3 A^3/atom
- DFT total energy: -3.9556 eV per atom
- Total magnetic moment: 0.988 μB/f.u.
- Space group: C2/c, No. 15

TlSnAu | GGA-PBE | optimized geometry

The structure in POSCAR format:
```
TlSnAu
1.0
6.557 -0.001 -0.002
-0.001 5.590 -0.001
0.000 0.000 4.512
Au Tl Sn
2 2 2
Cartesian
3.167 2.660 0.831 Au
5.503 5.455 3.085 Au
0.586 4.182 0.830 Tl
1.528 1.386 3.087 Tl
3.813 5.447 0.830 Sn
4.858 2.652 3.087 Sn
```

Values from the calculation:
- Calculated volume: 27.6 A^3/atom
- DFT total energy: -3.2893 eV per atom
- Total magnetic moment: 0.000 μB/f.u.
- Space group: Pmn2_1, No. 31

Pr2SmDy3 | GGA-PBE | optimized geometry

The structure in POSCAR format:
```
Pr2SmDy3
1.0
-2.210 5.138 0.439
-3.036 -3.719 -7.605
-3.795 -2.416 9.187
Dy Sm Pr
6 2 4
Cartesian
-7.101 0.085 -0.893 Dy
-4.634 -2.073 0.944 Dy
-1.939 -1.083 2.914 Dy
-4.406 1.076 1.076 Dy
-4.530 -1.729 -2.564 Dy
-4.510 0.732 4.585 Dy
-1.662 -0.657 -0.674 Sm
-7.378 -0.340 2.695 Sm
-5.167 -2.618 4.642 Pr
-4.551 -1.452 -5.922 Pr
-4.489 0.455 7.942 Pr
-3.873 1.621 -2.621 Pr
```

Values from the calculation:
- Calculated volume: 33.7 A^3/atom
- DFT total energy: -4.5826 eV per atom
- Total magnetic moment: 0.000 μB/f.u.
- Space group: C2/m, No. 12
- ΔE to the lowest computed polymorph: 0 meV per atom

SrAlSb2 | GGA-PBE | optimized geometry

The structure in POSCAR format:
```
SrAlSb2
1.0
8.372 0.024 0.014
7.336 4.035 0.014
7.336 1.895 3.562
Al Sb Sr
1 2 1
Cartesian
17.283 4.466 2.693 Al
11.112 2.871 1.732 Sb
0.410 0.106 0.064 Sb
5.761 1.489 0.898 Sr
```

Values from the calculation:
- Formation energy without anion corrections: -352.8 meV/atom
- Calculated volume: 29.8 A^3/atom
- DFT total energy: -3.7701 eV per atom
- Total magnetic moment: 0.000 μB/f.u.
- Space group: R-3m, No. 166